No. 1
A plane-wave DFT calculation with PBE-GGA was carried out for TiVI2 after structural relaxation.

Lattice parameters (Å, degrees): 4.938 4.938 4.938 60.00 60.00 60.00
Fractional positions:
Ti 0.000 0.000 0.000
V 0.500 0.500 0.500
I 0.250 0.250 0.250
I 0.750 0.750 0.750

formation energy (no corrections)	0.385	eV per atom
energy	-0.34131	Ry/atom

=====

No. 2
A plane-wave DFT calculation with PBE-GGA was carried out for TiV3I after structural relaxation.

Lattice parameters (Å, degrees): 4.573 4.573 4.573 90.00 90.00 90.00
Fractional positions:
Ti 0.000 0.000 0.000
V 0.000 0.000 0.500
V 0.000 0.500 0.000
V 0.500 0.000 0.000
I 0.500 0.500 0.500

formation energy (no corrections)	1.380	eV per atom
energy	-0.43954	Ry/atom

=====

No. 3
A plane-wave DFT calculation with PBE-GGA was carried out for TiW3I after structural relaxation.

Lattice parameters (Å, degrees): 4.715 4.715 4.715 90.00 90.00 90.00
Fractional positions:
Ti 0.000 0.000 0.000
W 0.000 0.000 0.500
W 0.000 0.500 0.000
W 0.500 0.000 0.000
I 0.500 0.500 0.500

formation energy (no corrections)	2.226	eV per atom
energy	-0.54644	Ry/atom

=====

No. 4
A plane-wave DFT calculation with PBE-GGA was carried out for TiW2I after structural relaxation.

Lattice parameters (Å, degrees): 10.871 10.871 10.871 159.75 159.75 28.79
Fractional positions:
Ti 0.000 0.000 0.000
Ti 0.750 0.250 0.500
W 0.115 0.625 0.990
W 0.375 0.365 0.490
W 0.635 0.125 0.010
W 0.875 0.885 0.510
I 0.250 0.750 0.500
I 0.500 0.500 0.000

formation energy (no corrections)	1.059	eV per atom
energy	-0.57173	Ry/atom

=====

| no. | total magnetic moment (μB/cell) |
| --- | --- |
| 1 | 2.893 |
| 2 | 0.000 |
| 3 | 0.000 |
| 4 | 0.000 |